VASP calculation (PBE+U) on MnSbN2F after structural relaxation.

Properties
ΔE to the lowest computed polymorph	0.00	eV per formula unit
ρ	6.01	g/cm3
size of the total moment	3.06	μB per cell

abc: 4.017 4.017 3.834
angles: 90.00 90.00 90.00
Element x y z (fractional)
N: 0.500 0.000 0.000
N: 0.000 0.500 0.000
Sb: 0.500 0.500 0.500
Mn: 0.000 0.000 0.000
F: 0.000 0.000 0.500